(1)
# Ba2GeCl, relaxed, DFT PBE
# D(E_F) (states/eV/cell): 6.350
# V (A^3/atom): 48.907
# DFT total energy (eV per cell): -28.20
# Total magnetic moment (μB/atom): 0.250
# Formation energy from raw total energies (eV per atom): -0.948
# Distance to the lowest polymorph of the same formula (meV/atom): 243
data_Ba2GeCl
_chemical_formula_sum 'Ba4 Ge2 Cl2'
_space_group_name_H-M_alt 'P 1'
_space_group_IT_number 1
_space_group_name_Hall 'P 1'
_cell_length_a 7.0722
_cell_length_b 7.0722
_cell_length_c 9.2845
_cell_angle_alpha 67.61
_cell_angle_beta 67.61
_cell_angle_gamma 90.00
loop_
_atom_site_label
_atom_site_fract_x
_atom_site_fract_y
_atom_site_fract_z
_atom_site_occupancy
Ge1 0.0000 0.0000 0.0000 1
Ge2 0.7500 0.2500 0.5000 1
Ba1 0.6226 0.1250 0.2500 1
Ba2 0.1274 0.6250 0.2500 1
Ba3 0.3750 0.3774 0.7500 1
Ba4 0.8750 0.8726 0.7500 1
Cl1 0.5000 0.5000 0.0000 1
Cl2 0.2500 0.7500 0.5000 1


(2)
# BaGeCl3, relaxed, DFT PBE
# D(E_F) (states/eV/cell): 3.975
# V (A^3/atom): 30.366
# DFT total energy (eV per cell): -17.95
# Total magnetic moment (μB/atom): 0.000
# Formation energy from raw total energies (eV per atom): -1.174
# Distance to the lowest polymorph of the same formula (meV/atom): 0
data_BaGeCl3
_chemical_formula_sum 'Ba1 Ge1 Cl3'
_space_group_name_H-M_alt 'P 1'
_space_group_IT_number 1
_space_group_name_Hall 'P 1'
_cell_length_a 5.3348
_cell_length_b 5.3348
_cell_length_c 5.3348
_cell_angle_alpha 90.00
_cell_angle_beta 90.00
_cell_angle_gamma 90.00
loop_
_atom_site_label
_atom_site_fract_x
_atom_site_fract_y
_atom_site_fract_z
_atom_site_occupancy
Ge1 0.0000 0.0000 0.0000 1
Ba1 0.5000 0.5000 0.5000 1
Cl1 0.0000 0.5000 0.0000 1
Cl2 0.0000 0.0000 0.5000 1
Cl3 0.5000 0.0000 0.0000 1


(3)
# Ba4GeCl3, relaxed, DFT PBE
# D(E_F) (states/eV/cell): 4.682
# V (A^3/atom): 36.259
# DFT total energy (eV per cell): -61.09
# Total magnetic moment (μB/atom): 0.000
# Formation energy from raw total energies (eV per atom): -1.587
data_Ba4GeCl3
_chemical_formula_sum 'Ba8 Ge2 Cl6'
_space_group_name_H-M_alt 'P 1'
_space_group_IT_number 1
_space_group_name_Hall 'P 1'
_cell_length_a 8.1733
_cell_length_b 8.0269
_cell_length_c 9.3727
_cell_angle_alpha 90.00
_cell_angle_beta 90.00
_cell_angle_gamma 109.36
loop_
_atom_site_label
_atom_site_fract_x
_atom_site_fract_y
_atom_site_fract_z
_atom_site_occupancy
Ge1 0.7500 0.0000 0.8651 1
Ge2 0.2500 0.0000 0.1349 1
Ba1 0.9888 0.2415 0.6303 1
Ba2 0.5010 0.2398 0.8851 1
Ba3 0.4888 0.2415 0.3697 1
Ba4 0.0010 0.2398 0.1149 1
Ba5 0.9990 0.7602 0.8851 1
Ba6 0.5112 0.7585 0.6303 1
Ba7 0.4990 0.7602 0.1149 1
Ba8 0.0112 0.7585 0.3697 1
Cl1 0.7500 0.0000 0.3769 1
Cl2 0.2500 0.0000 0.6231 1
Cl3 0.7500 0.5000 0.6202 1
Cl4 0.7500 0.5000 0.1399 1
Cl5 0.2500 0.5000 0.3798 1
Cl6 0.2500 0.5000 0.8601 1


Which value of D(E_F) does entry 2 give?
3.975 states/eV/cell